[1]
Entry from Alexandria: a relaxed structure of ScNbIn (PBE-GGA).

The structure in CIF format:
```
data_ScNbIn
_space_group_name_H-M_alt 'P 4/n m m'
_space_group_IT_number 129
_cell_length_a 4.088
_cell_length_b 4.088
_cell_length_c 7.869
_cell_angle_alpha 90.00
_cell_angle_beta 90.00
_cell_angle_gamma 90.00
loop_
_space_group_symop_operation_xyz
'x,y,z'
'-x,-y,-z'
'-y+1/2,x,z'
'y+1/2,-x,-z'
'-x+1/2,-y+1/2,z'
'x+1/2,y+1/2,-z'
'y,-x+1/2,z'
'-y,x+1/2,-z'
'x+1/2,-y,-z'
'-x+1/2,y,z'
'-y,-x,-z'
'y,x,z'
'-x,y+1/2,-z'
'x,-y+1/2,z'
'y+1/2,x+1/2,-z'
'-y+1/2,-x+1/2,z'
loop_
_atom_site_label
_atom_site_fract_x
_atom_site_fract_y
_atom_site_fract_z
Sc1 0.250 0.250 0.165
Nb1 0.250 0.750 0.500
In1 0.250 0.250 0.776
```

DOS at the Fermi energy: 1.6 states/eV/cell
energy relative to the elements: -0.179 eV/atom
calculated volume: 21.91 Å³/atom



[2]
Entry from Alexandria: a relaxed structure of ScNb2In2 (PBE-GGA).

The structure in CIF format:
```
data_ScNb2In2
_space_group_name_H-M_alt 'P 4/m b m'
_space_group_IT_number 127
_space_group_name_Hall '-P 4 2ab'
_cell_length_a 8.452
_cell_length_b 8.452
_cell_length_c 3.024
_cell_angle_alpha 90.00
_cell_angle_beta 90.00
_cell_angle_gamma 90.00
loop_
_atom_site_label
_atom_site_fract_x
_atom_site_fract_y
_atom_site_fract_z
Sc1 0.000 0.000 0.000
Nb1 0.111 0.389 0.000
In1 0.184 0.684 0.500
```

DOS at the Fermi energy: 6.5 states/eV/cell
energy relative to the elements: 0.104 eV/atom
calculated volume: 21.60 Å³/atom



[3]
Entry from Alexandria: a relaxed structure of Sc2Nb2In (PBE-GGA).

The structure in CIF format:
```
data_Sc2Nb2In
_space_group_name_H-M_alt 'P 4/m b m'
_space_group_IT_number 127
_space_group_name_Hall '-P 4 2ab'
_cell_length_a 7.461
_cell_length_b 7.461
_cell_length_c 3.858
_cell_angle_alpha 90.00
_cell_angle_beta 90.00
_cell_angle_gamma 90.00
loop_
_atom_site_label
_atom_site_fract_x
_atom_site_fract_y
_atom_site_fract_z
Sc1 0.170 0.330 0.000
Nb1 0.125 0.625 0.500
In1 0.000 0.000 0.500
```

DOS at the Fermi energy: 8.8 states/eV/cell
energy relative to the elements: 0.057 eV/atom
calculated volume: 21.48 Å³/atom



[4]
Entry from Alexandria: a relaxed structure of ScTaNbIn2 (PBE-GGA).

The structure in CIF format:
```
data_ScTaNbIn2
_space_group_name_H-M_alt 'P 4/m m m'
_space_group_IT_number 123
_space_group_name_Hall '-P 4 2'
_cell_length_a 5.170
_cell_length_b 5.170
_cell_length_c 4.578
_cell_angle_alpha 90.00
_cell_angle_beta 90.00
_cell_angle_gamma 90.00
loop_
_atom_site_label
_atom_site_fract_x
_atom_site_fract_y
_atom_site_fract_z
Sc1 0.000 0.000 0.000
Ta1 0.000 0.000 0.500
Nb1 0.500 0.500 0.500
In1 0.000 0.500 0.000
```

DOS at the Fermi energy: 6.9 states/eV/cell
energy relative to the elements: 1.554 eV/atom
calculated volume: 24.48 Å³/atom